(1)
# Ba6CdAu5

A geometry-optimized Ba6CdAu5 structure (PBE, Alexandria via LeMat-Bulk).

```
12
Lattice="5.623 0.002 -1.173 -0.003 8.144 -0.001 -1.038 0.000 9.041" Properties=species:S:1:pos:R:3 pbc="T T T"
Au 3.401 4.074 2.247
Au 1.211 8.145 5.773
Au -0.002 4.072 0.000
Au 3.371 0.002 2.094
Au 1.181 4.073 5.620
Ba 3.979 6.097 4.983
Ba 3.981 2.051 4.984
Ba 1.773 2.116 8.454
Ba 2.809 6.031 -0.587
Ba 0.601 6.096 2.883
Ba 0.603 2.050 2.883
Cd 0.000 0.000 0.000
```

Output
M_tot: 0.0 μB per cell
DOS at the Fermi energy: 10.88 states/eV/cell
DFT formation energy: -0.61 eV/atom
Space-group type: P2/m (10)

(2)
# Ba3CdAu

A geometry-optimized Ba3CdAu structure (PBE, Alexandria via LeMat-Bulk).

```
20
Lattice="8.927 -0.282 -0.211 0.310 10.012 -0.490 0.310 2.359 9.743" Properties=species:S:1:pos:R:3 pbc="T T T"
Ba 5.858 10.280 8.994
Ba 8.154 0.417 1.616
Ba 3.690 1.809 0.049
Ba 1.394 11.672 7.426
Ba 7.287 4.260 0.273
Ba 6.725 10.482 4.927
Ba 2.261 7.829 8.769
Ba 2.823 1.607 4.115
Ba 5.678 6.698 6.306
Ba 8.334 4.006 4.293
Ba 3.870 5.391 2.736
Ba 1.214 8.082 4.749
Cd 2.542 8.601 1.250
Cd 7.006 3.488 7.792
Cd 2.542 4.778 6.362
Cd 7.006 7.311 2.680
Au 8.278 8.627 7.302
Au 5.734 2.506 2.724
Au 1.270 3.462 1.740
Au 3.814 9.583 6.318
```

Output
M_tot: 0.0 μB per cell
Energy above the most stable polymorph in this dataset: 29 meV/atom
DOS at the Fermi energy: 19.04 states/eV/cell
DFT formation energy: -0.36 eV/atom
Space-group type: C2/c (15)

(3)
# Ba2Cd3Au6

A geometry-optimized Ba2Cd3Au6 structure (PBE, Alexandria via LeMat-Bulk).

```
11
Lattice="4.329 0.000 0.000 0.000 8.232 -1.081 0.000 -0.171 8.301" Properties=species:S:1:pos:R:3 pbc="T T T"
Ba 0.000 2.366 5.468
Ba 0.000 5.695 1.752
Cd 0.000 1.599 1.432
Cd 0.000 6.462 5.787
Cd 2.165 0.000 0.000
Au 2.165 3.038 2.721
Au 2.165 5.024 4.499
Au 2.165 0.163 2.826
Au 2.165 7.898 4.394
Au 2.165 2.827 -0.148
Au 2.165 5.234 7.368
```

Output
M_tot: 0.0 μB per cell
DOS at the Fermi energy: 4.59 states/eV/cell
DFT formation energy: -0.42 eV/atom
Space-group type: Cmmm (65)

(4)
# Ba2Cd2Au

A geometry-optimized Ba2Cd2Au structure (PBE, Alexandria via LeMat-Bulk).

```
10
Lattice="-4.182 2.185 0.481 -4.461 -4.039 2.955 1.291 5.238 10.820" Properties=species:S:1:pos:R:3 pbc="T T T"
Ba -3.580 2.365 4.904
Ba -3.961 5.474 10.850
Ba -3.772 1.019 9.352
Ba -3.391 -2.091 3.406
Cd -0.874 1.884 7.238
Cd -5.331 2.507 12.424
Cd -6.478 1.500 7.019
Cd -2.021 0.877 1.833
Au -2.219 4.262 8.119
Au -5.133 -0.879 6.137
```

Output
M_tot: 0.0 μB per cell
Energy above the most stable polymorph in this dataset: 0 meV/atom
DOS at the Fermi energy: 7.04 states/eV/cell
DFT formation energy: -0.45 eV/atom
Space-group type: C2/m (12)

(5)
# Ba3Cd4Au2

A geometry-optimized Ba3Cd4Au2 structure (PBE, Alexandria via LeMat-Bulk).

```
9
Lattice="4.830 0.000 1.289 1.955 5.986 2.370 -0.105 0.341 10.091" Properties=species:S:1:pos:R:3 pbc="T T T"
Ba 2.859 4.352 8.679
Ba 0.000 0.000 0.000
Ba 3.821 1.975 5.071
Cd 2.083 2.332 1.890
Cd 4.598 3.996 11.859
Cd 0.712 1.930 7.030
Cd 5.968 4.398 6.720
Au 3.710 5.719 5.488
Au 2.970 0.608 8.261
```

Output
M_tot: 0.0 μB per cell
DOS at the Fermi energy: 5.76 states/eV/cell
DFT formation energy: -0.47 eV/atom
Space-group type: C2/m (12)

(6)
# Ba2Cd12Au5

A geometry-optimized Ba2Cd12Au5 structure (PBE, Alexandria via LeMat-Bulk).

```
19
Lattice="-7.256 2.538 -0.364 -1.996 -4.149 -6.167 -3.098 -5.847 3.931" Properties=species:S:1:pos:R:3 pbc="T T T"
Ba -8.192 -4.946 -1.725
Ba -4.159 -2.511 -0.876
Cd -3.523 -2.208 -4.483
Cd -6.049 0.105 0.882
Cd -2.778 -5.354 1.000
Cd -5.730 0.598 -2.048
Cd -4.305 -3.413 2.684
Cd -2.316 -4.642 -3.236
Cd -5.850 -5.552 1.096
Cd -5.291 -4.690 -4.033
Cd -7.963 -1.293 -1.086
Cd -7.059 -2.768 1.432
Cd -6.500 -1.905 -3.696
Cd -4.388 -6.164 -1.515
Au -1.549 -2.923 1.965
Au -0.998 -2.074 -3.083
Au -3.628 1.269 -0.182
Au -11.071 -6.685 -2.331
Au -1.280 -0.773 -0.269
```

Output
M_tot: 0.0 μB per cell
DOS at the Fermi energy: 9.04 states/eV/cell
DFT formation energy: -0.25 eV/atom
Space-group type: R-3m (166)

(7)
# BaCdAu2

A geometry-optimized BaCdAu2 structure (PBE, Alexandria via LeMat-Bulk).

```
4
Lattice="-2.495 3.073 3.582 -5.214 1.017 -0.527 -3.499 -2.167 3.399" Properties=species:S:1:pos:R:3 pbc="T T T"
Au 0.000 0.000 0.000
Au -2.802 0.481 1.613
Ba -5.604 0.962 3.227
Cd -8.407 1.443 4.840
```

Output
M_tot: 0.0 μB per cell
DOS at the Fermi energy: 0.74 states/eV/cell
DFT formation energy: -0.34 eV/atom
Space-group type: F-43m (216)

(8)
# BaCd8Au4

A geometry-optimized BaCd8Au4 structure (PBE, Alexandria via LeMat-Bulk).

```
13
Lattice="-0.459 1.877 5.276 6.120 -2.085 4.267 3.154 7.034 0.764" Properties=species:S:1:pos:R:3 pbc="T T T"
Ba 0.000 0.000 0.000
Cd 4.204 3.805 2.004
Cd 5.069 1.143 3.027
Cd 5.827 3.861 5.118
Cd 2.987 2.965 5.189
Cd 5.236 0.864 6.133
Cd 3.578 5.962 4.175
Cd 1.916 1.616 2.584
Cd 6.898 5.210 7.723
Au 1.577 3.517 0.382
Au 1.347 4.455 3.020
Au 3.060 -1.043 2.133
Au 2.830 -0.104 4.772
```

Output
M_tot: 0.0 μB per cell
DOS at the Fermi energy: 6.60 states/eV/cell
DFT formation energy: -0.24 eV/atom
Space-group type: I4/mmm (139)

(9)
# Ba2Cd3Au2

A geometry-optimized Ba2Cd3Au2 structure (PBE, Alexandria via LeMat-Bulk).

```
7
Lattice="4.684 0.000 0.000 -2.342 5.758 -0.217 0.000 -2.932 7.658" Properties=species:S:1:pos:R:3 pbc="T T T"
Ba 2.342 3.525 1.586
Ba 0.000 -0.700 5.855
Cd 2.342 0.000 0.000
Cd 2.342 0.263 3.244
Cd 0.000 2.563 4.197
Au 2.342 1.723 5.876
Au 0.000 1.103 1.565
```

Output
M_tot: 0.0 μB per cell
DOS at the Fermi energy: 4.61 states/eV/cell
DFT formation energy: -0.48 eV/atom
Space-group type: C2/m (12)

(10)
# BaCd11Au

A geometry-optimized BaCd11Au structure (PBE, Alexandria via LeMat-Bulk).

```
13
Lattice="5.470 0.022 2.279 2.701 7.249 1.125 -0.051 0.011 7.826" Properties=species:S:1:pos:R:3 pbc="T T T"
Ba 0.000 0.000 0.000
Cd 2.145 1.630 2.608
Cd 5.976 5.653 8.622
Cd 4.809 5.642 3.718
Cd 3.312 1.640 7.512
Cd 3.675 4.665 6.618
Cd 4.447 2.617 4.612
Cd 6.356 2.628 7.735
Cd 1.766 4.654 3.495
Cd 1.351 3.625 0.563
Cd 2.710 0.016 5.052
Cd -0.025 0.005 3.913
Au 4.086 3.636 1.702
```

Output
M_tot: 0.0 μB per cell
DOS at the Fermi energy: 5.26 states/eV/cell
DFT formation energy: -0.17 eV/atom
Space-group type: C2/m (12)

(11)
# Ba2Cd2Au

A geometry-optimized Ba2Cd2Au structure (PBE, Alexandria via LeMat-Bulk).

```
10
Lattice="7.918 0.000 0.000 0.000 7.918 0.000 0.000 0.000 5.370" Properties=species:S:1:pos:R:3 pbc="T T T"
Au 0.000 0.000 0.000
Au 3.959 3.959 0.000
Ba 1.413 5.372 2.685
Ba 5.372 6.506 2.685
Ba 6.506 2.546 2.685
Ba 2.546 1.413 2.685
Cd 2.921 6.880 0.000
Cd 6.880 4.997 0.000
Cd 4.997 1.038 0.000
Cd 1.038 2.921 0.000
```

Output
M_tot: 0.0 μB per cell
Energy above the most stable polymorph in this dataset: 173 meV/atom
DOS at the Fermi energy: 13.83 states/eV/cell
DFT formation energy: -0.28 eV/atom
Space-group type: P4/mbm (127)

(12)
# Ba8Cd2Au

A geometry-optimized Ba8Cd2Au structure (PBE, Alexandria via LeMat-Bulk).

```
11
Lattice="-2.085 7.761 -1.018 -3.268 0.441 -8.481 -9.089 0.045 0.425" Properties=species:S:1:pos:R:3 pbc="T T T"
Ba -3.131 2.127 -5.695
Ba -7.888 6.353 -8.616
Ba -2.136 2.106 -1.303
Ba -12.306 6.140 -7.771
Ba -6.555 1.894 -0.458
Ba -11.311 6.120 -3.379
Ba -6.852 6.293 -4.199
Ba -7.591 1.954 -4.875
Cd -4.874 3.632 -3.024
Cd -9.569 4.615 -6.050
Au 0.000 0.000 0.000
```

Output
M_tot: 0.0 μB per cell
Energy above the most stable polymorph in this dataset: 27 meV/atom
DOS at the Fermi energy: 14.88 states/eV/cell
DFT formation energy: -0.20 eV/atom
Space-group type: C2/m (12)

(13)
# Ba3Cd2Au3

A geometry-optimized Ba3Cd2Au3 structure (PBE, Alexandria via LeMat-Bulk).

```
16
Lattice="4.778 0.000 0.000 -2.389 6.475 0.000 0.000 0.000 16.279" Properties=species:S:1:pos:R:3 pbc="T T T"
Ba 2.389 5.438 6.388
Ba 0.000 1.038 14.527
Ba 2.389 5.438 1.751
Ba 0.000 1.038 9.891
Ba 2.389 1.833 4.070
Ba 0.000 4.642 12.209
Cd 2.389 3.686 14.862
Cd 0.000 2.789 6.722
Cd 2.389 3.686 9.556
Cd 0.000 2.789 1.417
Au 2.389 1.339 7.474
Au 0.000 5.137 15.613
Au 2.389 1.339 0.665
Au 0.000 5.137 8.804
Au 0.000 4.316 4.070
Au 2.389 2.159 12.209
```

Output
M_tot: 0.0 μB per cell
DOS at the Fermi energy: 9.66 states/eV/cell
DFT formation energy: -0.59 eV/atom
Space-group type: Cmcm (63)

(14)
# BaCd2Au8

A geometry-optimized BaCd2Au8 structure (PBE, Alexandria via LeMat-Bulk).

```
11
Lattice="-1.596 -4.801 -2.209 3.453 0.800 -4.233 7.086 -4.614 4.907" Properties=species:S:1:pos:R:3 pbc="T T T"
Ba 4.471 -4.308 -0.768
Cd -0.798 -2.401 -1.105
Cd 1.726 0.400 -2.117
Au 2.948 -4.020 -3.770
Au 5.189 -7.015 1.121
Au 6.929 -6.612 -1.013
Au 1.208 -4.423 -1.636
Au 3.753 -1.600 -2.656
Au 7.734 -4.192 0.100
Au 2.013 -2.003 -0.522
Au 5.993 -4.595 2.234
```

Output
M_tot: 0.0 μB per cell
DOS at the Fermi energy: 1.17 states/eV/cell
DFT formation energy: -0.15 eV/atom
Space-group type: P4/mmm (123)

(15)
# CsBaCd2Au

A geometry-optimized CsBaCd2Au structure (PBE, Alexandria via LeMat-Bulk).

```
5
Lattice="-2.891 4.834 -0.436 -4.664 -2.626 1.809 1.448 1.383 5.739" Properties=species:S:1:pos:R:3 pbc="T T T"
Cs -3.054 1.796 3.556
Au 0.000 0.000 0.000
Ba 0.724 0.692 2.870
Cd -2.332 -1.313 0.905
Cd -1.445 2.417 -0.218
```

Output
M_tot: 0.0 μB per cell
DOS at the Fermi energy: 3.73 states/eV/cell
DFT formation energy: -0.14 eV/atom
Space-group type: P4/mmm (123)

(16)
# BaCdCuAu2

A geometry-optimized BaCdCuAu2 structure (PBE, Alexandria via LeMat-Bulk).

```
5
Lattice="5.108 0.000 0.000 0.000 5.108 0.000 0.000 0.000 4.976" Properties=species:S:1:pos:R:3 pbc="T T T"
Au 0.000 2.554 0.000
Au 2.554 0.000 0.000
Ba 2.554 2.554 2.488
Cu 0.000 0.000 0.000
Cd 0.000 0.000 2.488
```

Output
M_tot: 0.0 μB per cell
DOS at the Fermi energy: 1.54 states/eV/cell
DFT formation energy: -0.27 eV/atom
Space-group type: P4/mmm (123)

(17)
# BaCd2CuAu4

A geometry-optimized BaCd2CuAu4 structure (PBE, Alexandria via LeMat-Bulk).

```
8
Lattice="-1.555 -4.347 -0.485 2.994 -3.464 -0.766 1.352 -4.000 9.302" Properties=species:S:1:pos:R:3 pbc="T T T"
Ba 0.000 0.000 0.000
Cd 2.057 -8.800 5.635
Cd 0.734 -3.011 2.416
Cu 1.395 -5.905 4.026
Au 1.642 -6.300 6.770
Au 1.802 -8.393 2.798
Au 0.988 -3.418 5.253
Au 1.149 -5.511 1.281
```

Output
M_tot: 0.0 μB per cell
DOS at the Fermi energy: 1.82 states/eV/cell
DFT formation energy: -0.28 eV/atom
Space-group type: R-3m (166)

(18)
# BaDyCd2Au4

A geometry-optimized BaDyCd2Au4 structure (PBE, Alexandria via LeMat-Bulk).

```
8
Lattice="-4.608 -1.574 -0.222 -1.848 -2.651 3.648 -5.111 6.640 5.491" Properties=species:S:1:pos:R:3 pbc="T T T"
Ba 0.000 0.000 0.000
Dy -5.783 1.208 4.459
Cd -8.570 1.526 6.533
Cd -2.997 0.890 2.384
Au -6.677 3.638 5.772
Au -7.572 -1.188 5.067
Au -3.995 3.604 3.851
Au -4.890 -1.223 3.145
```

Output
M_tot: 0.0 μB per cell
DOS at the Fermi energy: 3.29 states/eV/cell
DFT formation energy: -0.58 eV/atom
Space-group type: R-3m (166)

(19)
# Ba2DyCdAu6

A geometry-optimized Ba2DyCdAu6 structure (PBE, Alexandria via LeMat-Bulk).

```
10
Lattice="-1.690 6.892 -3.033 -6.194 -3.040 -3.456 -6.970 3.112 1.138" Properties=species:S:1:pos:R:3 pbc="T T T"
Ba -8.553 0.999 -2.781
Ba -6.301 5.965 -2.570
Dy -3.942 1.926 -3.244
Cd 0.000 0.000 0.000
Au -5.084 -0.591 -3.352
Au -12.910 6.015 -3.751
Au -5.477 2.527 -1.023
Au -2.801 4.443 -3.137
Au -1.944 0.950 -1.600
Au -9.378 4.437 -4.328
```

Output
M_tot: 0.0 μB per cell
DOS at the Fermi energy: 3.97 states/eV/cell
DFT formation energy: -0.34 eV/atom
Space-group type: Fm-3m (225)

(20)
# Ba2ErCdAu6

A geometry-optimized Ba2ErCdAu6 structure (PBE, Alexandria via LeMat-Bulk).

```
10
Lattice="-5.765 5.053 0.634 -4.916 -5.270 -2.689 -6.282 -1.820 4.049" Properties=species:S:1:pos:R:3 pbc="T T T"
Ba -8.269 -3.599 0.166
Ba -8.694 1.562 1.828
Er -5.340 -0.109 -1.028
Cd 0.000 0.000 0.000
Au -5.126 -2.715 -1.867
Au -14.319 -1.983 2.503
Au -5.816 -0.973 1.536
Au -5.555 2.498 -0.188
Au -2.644 -0.054 -0.509
Au -11.147 -1.064 0.458
```

Output
M_tot: 0.0 μB per cell
DOS at the Fermi energy: 4.21 states/eV/cell
DFT formation energy: -0.35 eV/atom
Space-group type: Fm-3m (225)

(21)
# BaCd2AuF

A geometry-optimized BaCd2AuF structure (PBE, Alexandria via LeMat-Bulk).

```
5
Lattice="5.218 0.000 0.000 0.000 5.218 0.000 0.000 0.000 6.433" Properties=species:S:1:pos:R:3 pbc="T T T"
F 2.609 2.609 3.216
Au 0.000 0.000 0.000
Ba 0.000 0.000 3.216
Cd 0.000 2.609 0.000
Cd 2.609 0.000 0.000
```

Output
M_tot: 0.0 μB per cell
DOS at the Fermi energy: 1.61 states/eV/cell
Formation energy without anion corrections: -398 kJ/mol of formula units
Space-group type: P4/mmm (123)

(22)
# Ba2Cd2GaAu4

A geometry-optimized Ba2Cd2GaAu4 structure (PBE, Alexandria via LeMat-Bulk).

```
9
Lattice="6.827 0.202 0.292 -3.099 6.086 -0.292 -3.099 -2.412 5.596" Properties=species:S:1:pos:R:3 pbc="T T T"
Ba 0.314 4.063 1.326
Ba 0.314 -0.186 4.270
Cd -4.150 2.460 3.550
Cd -2.049 1.215 1.753
Ga 0.000 0.000 0.000
Au -3.099 3.926 1.204
Au -1.267 2.840 4.099
Au -3.099 -0.252 4.099
Au 1.895 1.037 1.497
```

Output
M_tot: 0.0 μB per cell
DOS at the Fermi energy: 5.25 states/eV/cell
DFT formation energy: -0.47 eV/atom
Space-group type: I4/mmm (139)